1.
Here is a geometry-optimized AlPbAu4 structure from Alexandria via LeMat-Bulk. Energies are from PBE.

a b c (Å): 13.484 6.176 6.357
angles (deg): 90.00 110.54 90.00
Space group C2/m (No. 12)
Symmetry-distinct sites (fractional):
Al1 0.053 0.000 0.341
Pb1 0.193 0.500 0.315
Au1 0.000 0.267 0.000
Au2 0.109 0.268 0.685
Au3 0.196 0.000 0.140

Formation enthalpy at 0 K = -14.6 kJ per mole of atoms
Energy above the lowest structure with this stoichiometry = 0 meV per atom

---

2.
Here is a geometry-optimized AsIr2Ru structure from Alexandria via LeMat-Bulk. Energies are from PBE.

a b c (Å): 5.303 9.521 2.805
angles (deg): 90.00 121.23 90.00
Space group C2/m (No. 12)
Symmetry-distinct sites (fractional):
As1 0.000 0.000 0.000
Ir1 0.250 0.250 0.500
Ru1 0.000 0.500 0.000

Formation enthalpy at 0 K = 31.8 kJ per mole of atoms

---

3.
Here is a geometry-optimized Na2Ga2HgCl6 structure from Alexandria via LeMat-Bulk. Energies are from PBE.

a b c (Å): 7.159 7.409 9.054
angles (deg): 68.75 67.32 89.46
Space group P-1 (No. 2)
Symmetry-distinct sites (fractional):
Na1 0.177 0.269 0.461
Ga1 0.088 0.557 0.842
Hg1 0.500 0.000 0.000
Cl1 0.042 0.866 0.694
Cl2 0.046 0.612 0.269
Cl3 0.424 0.546 0.732

Formation energy from raw total energies = -1208 meV/atom